Entry 1:
First-principles (PBE) data for LiAc3Ge6Pd2 after structural relaxation, as listed in Alexandria.

a = 6.3553 Å, b = 6.3553 Å, c = 8.4051 Å
α = 90.00°, β = 90.00°, γ = 120.00°
Element x y z (fractional)
Li1 0.0000 0.0000 0.0000
Ac1 0.0000 0.0000 0.5000
Ac2 0.3333 0.6667 0.1507
Ac3 0.6667 0.3333 0.8493
Ge1 0.1973 0.3946 0.7950
Ge2 0.1973 0.8027 0.7950
Ge3 0.3946 0.1973 0.2050
Ge4 0.6054 0.8027 0.7950
Ge5 0.8027 0.1973 0.2050
Ge6 0.8027 0.6054 0.2050
Pd1 0.3333 0.6667 0.5424
Pd2 0.6667 0.3333 0.4576

Spin magnetization ... 0.0 μB per formula unit
VASP energy ... -4.827 eV per atom
ΔH_f (0 K) ... -0.466 eV per atom
Space group ... P-3m1 (164)

Entry 2:
First-principles (PBE) data for CdFeIr2 after structural relaxation, as listed in Alexandria.

a = 4.8345 Å, b = 4.8345 Å, c = 4.8345 Å
α = 132.23°, β = 132.23°, γ = 69.86°
Element x y z (fractional)
Cd1 0.0000 0.0000 0.0000
Fe1 0.2500 0.7500 0.5000
Ir1 0.5000 0.5000 0.0000
Ir2 0.7500 0.2500 0.5000

Spin magnetization ... 2.6 μB per formula unit
VASP energy ... -6.498 eV per atom
ΔH_f (0 K) ... 0.277 eV per atom
Space group ... I-4m2 (119)

Entry 3:
First-principles (PBE) data for LiTbAsPd after structural relaxation, as listed in Alexandria.

a = 4.7688 Å, b = 4.7688 Å, c = 4.7688 Å
α = 60.00°, β = 60.00°, γ = 60.00°
Element x y z (fractional)
Li1 0.0000 0.0000 0.0000
Tb1 0.5000 0.5000 0.5000
As1 0.2500 0.2500 0.2500
Pd1 0.7500 0.7500 0.7500

Spin magnetization ... 0.0 μB per formula unit
VASP energy ... -4.904 eV per atom
ΔH_f (0 K) ... -0.807 eV per atom
Space group ... F-43m (216)

Entry 4:
First-principles (PBE) data for Pm2Sm5Ho2 after structural relaxation, as listed in Alexandria.

a = 10.1439 Å, b = 10.1439 Å, c = 10.1439 Å
α = 85.06°, β = 108.19°, γ = 140.72°
Element x y z (fractional)
Pm1 0.0025 0.1266 0.1291
Pm2 0.0025 0.3734 0.3759
Pm3 0.9975 0.6266 0.6241
Pm4 0.9975 0.8734 0.8709
Sm1 0.0874 0.1791 0.6217
Sm2 0.0874 0.9657 0.4083
Sm3 0.0928 0.5993 0.9936
Sm4 0.3985 0.0981 0.1959
Sm5 0.3985 0.7026 0.8004
Sm6 0.5574 0.4657 0.3783
Sm7 0.5574 0.6791 0.5917
Sm8 0.6057 0.0993 0.0064
Sm9 0.9022 0.2026 0.8041
Sm10 0.9022 0.5981 0.1996
Ho1 0.4715 0.4715 0.0000
Ho2 0.4715 0.9715 0.5000
Ho3 0.5340 0.2930 0.7410
Ho4 0.5520 0.7930 0.2590

Spin magnetization ... 0.0 μB per formula unit
VASP energy ... -4.485 eV per atom
ΔH_f (0 K) ... 0.210 eV per atom
Energy above the lowest structure with this stoichiometry ... 65 meV per atom
Space group ... Ima2 (46)

Entry 5:
First-principles (PBE) data for PmGaAsPd after structural relaxation, as listed in Alexandria.

a = 4.8754 Å, b = 4.8754 Å, c = 4.8754 Å
α = 60.00°, β = 60.00°, γ = 60.00°
Element x y z (fractional)
Pm1 0.0000 0.0000 0.0000
Ga1 0.7500 0.7500 0.7500
As1 0.5000 0.5000 0.5000
Pd1 0.2500 0.2500 0.2500

Spin magnetization ... 0.0 μB per formula unit
VASP energy ... -4.902 eV per atom
ΔH_f (0 K) ... -0.497 eV per atom
Space group ... F-43m (216)

Entry 6:
First-principles (PBE) data for K3Cd6Au5 after structural relaxation, as listed in Alexandria.

a = 4.7821 Å, b = 14.4157 Å, c = 10.2833 Å
α = 90.00°, β = 90.00°, γ = 90.00°
Element x y z (fractional)
K1 0.2500 0.0531 0.2457
K2 0.2500 0.4469 0.2457
K3 0.2500 0.7500 0.2611
K4 0.7500 0.2500 0.7389
K5 0.7500 0.5531 0.7543
K6 0.7500 0.9469 0.7543
Cd1 0.2500 0.0652 0.5857
Cd2 0.2500 0.2500 0.0351
Cd3 0.2500 0.2500 0.4270
Cd4 0.2500 0.4348 0.5857
Cd5 0.2500 0.6005 0.9780
Cd6 0.2500 0.8995 0.9780
Cd7 0.7500 0.1005 0.0220
Cd8 0.7500 0.3995 0.0220
Cd9 0.7500 0.5652 0.4143
Cd10 0.7500 0.7500 0.5730
Cd11 0.7500 0.7500 0.9649
Cd12 0.7500 0.9348 0.4143
Au1 0.2500 0.0891 0.8655
Au2 0.2500 0.4109 0.8655
Au3 0.2500 0.6356 0.5458
Au4 0.2500 0.7500 0.7838
Au5 0.2500 0.8644 0.5458
Au6 0.7500 0.1356 0.4542
Au7 0.7500 0.2500 0.2162
Au8 0.7500 0.3644 0.4542
Au9 0.7500 0.5891 0.1345
Au10 0.7500 0.9109 0.1345

Spin magnetization ... 0.0 μB per formula unit
VASP energy ... -2.038 eV per atom
ΔH_f (0 K) ... -0.240 eV per atom
Space group ... Pmmn (59)

Entry 7:
First-principles (PBE) data for MgNiRu after structural relaxation, as listed in Alexandria.

a = 5.0552 Å, b = 5.0552 Å, c = 5.0552 Å
α = 121.96°, β = 121.87°, γ = 86.71°
Element x y z (fractional)
Mg1 0.3786 0.1286 0.2500
Mg2 0.6214 0.8714 0.7500
Ni1 0.0000 0.0000 0.5000
Ni2 0.0000 0.5000 0.0000
Ru1 0.0000 0.5000 0.5000
Ru2 0.5000 0.5000 0.0000

Spin magnetization ... 0.0 μB per formula unit
VASP energy ... -5.595 eV per atom
ΔH_f (0 K) ... -0.045 eV per atom
Energy above the lowest structure with this stoichiometry ... 0 meV per atom
Space group ... Imma (74)

Entry 8:
First-principles (PBE) data for KP2PdO6 after structural relaxation, as listed in Alexandria.

a = 6.8154 Å, b = 6.8154 Å, c = 6.8154 Å
α = 49.37°, β = 49.37°, γ = 49.37°
Element x y z (fractional)
K1 0.0000 0.0000 0.0000
P1 0.2446 0.2446 0.2446
P2 0.7554 0.7554 0.7554
Pd1 0.5000 0.5000 0.5000
O1 0.0382 0.7160 0.5151
O2 0.2840 0.4849 0.9618
O3 0.4849 0.9618 0.2840
O4 0.5151 0.0382 0.7160
O5 0.7160 0.5151 0.0382
O6 0.9618 0.2840 0.4849

Spin magnetization ... 1.0 μB per formula unit
VASP energy ... -6.217 eV per atom
Formation energy (no corrections) ... -1478 kJ/mol of formula units
Space group ... R-3 (148)

Entry 9:
First-principles (PBE) data for Sb4BrO5 after structural relaxation, as listed in Alexandria.

a = 10.3983 Å, b = 11.6131 Å, c = 4.1956 Å
α = 90.00°, β = 90.00°, γ = 90.00°
Element x y z (fractional)
Sb1 0.0018 0.2500 0.1432
Sb2 0.2500 0.0893 0.5790
Sb3 0.2500 0.4107 0.5790
Sb4 0.4982 0.2500 0.1432
Sb5 0.5018 0.7500 0.8568
Sb6 0.7500 0.5893 0.4210
Sb7 0.7500 0.9107 0.4210
Sb8 0.9982 0.7500 0.8568
Br1 0.2500 0.7500 0.5078
Br2 0.7500 0.2500 0.4922
O1 0.1062 0.1133 0.2700
O2 0.1062 0.3867 0.2700
O3 0.2500 0.2500 0.7551
O4 0.3938 0.1133 0.2700
O5 0.3938 0.3867 0.2700
O6 0.6062 0.6133 0.7300
O7 0.6062 0.8867 0.7300
O8 0.7500 0.7500 0.2449
O9 0.8938 0.6133 0.7300
O10 0.8938 0.8867 0.7300

Spin magnetization ... 0.0 μB per formula unit
VASP energy ... -5.317 eV per atom
Formation energy (no corrections) ... -986 kJ/mol of formula units
Space group ... Pmmn (59)

Entry 10:
First-principles (PBE) data for Er4CoCu after structural relaxation, as listed in Alexandria.

a = 9.1756 Å, b = 9.1756 Å, c = 9.1756 Å
α = 60.00°, β = 60.00°, γ = 60.00°
Element x y z (fractional)
Er1 0.1870 0.1870 0.8130
Er2 0.1870 0.8130 0.1870
Er3 0.1870 0.8130 0.8130
Er4 0.3973 0.3973 0.3973
Er5 0.3973 0.3973 0.8081
Er6 0.3973 0.8081 0.3973
Er7 0.5598 0.5598 0.9402
Er8 0.5598 0.9402 0.5598
Er9 0.5598 0.9402 0.9402
Er10 0.8081 0.3973 0.3973
Er11 0.8130 0.1870 0.1870
Er12 0.8130 0.1870 0.8130
Er13 0.8130 0.8130 0.1870
Er14 0.9402 0.5598 0.5598
Er15 0.9402 0.5598 0.9402
Er16 0.9402 0.9402 0.5598
Co1 0.1772 0.6076 0.6076
Co2 0.6076 0.1772 0.6076
Co3 0.6076 0.6076 0.1772
Co4 0.6076 0.6076 0.6076
Cu1 0.1727 0.1727 0.1727
Cu2 0.1727 0.1727 0.4819
Cu3 0.1727 0.4819 0.1727
Cu4 0.4819 0.1727 0.1727

Spin magnetization ... 0.0 μB per formula unit
VASP energy ... -5.094 eV per atom
ΔH_f (0 K) ... -0.185 eV per atom
Energy above the lowest structure with this stoichiometry ... 0 meV per atom
Space group ... F-43m (216)

Entry 11:
First-principles (PBE) data for ThAs12Ru4 after structural relaxation, as listed in Alexandria.

a = 7.4426 Å, b = 7.4426 Å, c = 7.4426 Å
α = 109.47°, β = 109.47°, γ = 109.47°
Element x y z (fractional)
Th1 0.0000 0.0000 0.0000
As1 0.1500 0.3467 0.4967
As2 0.1500 0.6533 0.8034
As3 0.1966 0.8500 0.3467
As4 0.3467 0.1966 0.8500
As5 0.3467 0.4967 0.1500
As6 0.4967 0.1500 0.3467
As7 0.5033 0.8500 0.6533
As8 0.6533 0.5033 0.8500
As9 0.6533 0.8034 0.1500
As10 0.8034 0.1500 0.6533
As11 0.8500 0.3467 0.1966
As12 0.8500 0.6533 0.5033
Ru1 0.0000 0.0000 0.5000
Ru2 0.0000 0.5000 0.0000
Ru3 0.5000 0.0000 0.0000
Ru4 0.5000 0.5000 0.5000

Spin magnetization ... 0.0 μB per formula unit
VASP energy ... -6.393 eV per atom
ΔH_f (0 K) ... -0.492 eV per atom
Space group ... Im-3 (204)